[1]
{"formula": "NdMg2ZnAg4", "functional": "GGA-PBE", "state": "relaxed", "final_energy_ev_per_atom": -2.76, "dos_ef_per_ev_cell": 4.51, "delta_e_f_kj_per_mol_atoms": -17, "vol_a3_per_atom": 20.583, "lattice": [[4.670, 0.000, 0.000], [2.335, 4.044, 0.000], [2.335, 1.348, 8.720]], "species": ["Mg", "Mg", "Nd", "Ag", "Ag", "Ag", "Ag", "Zn"], "frac_coords": [[0.241, 0.241, 0.276], [0.759, 0.759, 0.724], [0.000, 0.000, 0.000], [0.602, 0.602, 0.195], [0.130, 0.130, 0.610], [0.870, 0.870, 0.390], [0.398, 0.398, 0.805], [0.500, 0.500, 0.500]]}

[2]
{"formula": "KBa2Cr", "functional": "GGA-PBE", "state": "relaxed", "final_energy_ev_per_atom": -3.09, "dos_ef_per_ev_cell": 4.74, "delta_e_f_kj_per_mol_atoms": 54, "relative_energy_ev_per_fu": 0.461, "vol_a3_per_atom": 56.156, "lattice": [[-1.253, 0.761, 4.478], [-3.786, -3.003, -0.549], [3.664, -9.059, 2.565]], "species": ["Ba", "Ba", "K", "Cr"], "frac_coords": [[0.500, 0.271, 0.332], [0.000, 0.916, 0.045], [0.500, 0.583, 0.712], [0.000, 0.730, 0.410]]}

[3]
{"formula": "CaCoSeBr2", "functional": "GGA-PBE", "state": "relaxed", "final_energy_ev_per_atom": -3.87, "dos_ef_per_ev_cell": 2.80, "relative_energy_ev_per_fu": 0.000, "vol_a3_per_atom": 24.611, "e_form_raw_kj_per_mol_atoms": -66.2, "lattice": [[5.035, 0.000, 0.000], [0.000, 5.035, 0.000], [0.000, 0.000, 4.854]], "species": ["Se", "Br", "Br", "Ca", "Co"], "frac_coords": [[0.000, 0.000, 0.500], [0.000, 0.500, 0.000], [0.500, 0.000, 0.000], [0.500, 0.500, 0.500], [0.000, 0.000, 0.000]]}

[4]
{"formula": "Sm2InGePd6", "functional": "GGA-PBE", "state": "relaxed", "final_energy_ev_per_atom": -5.43, "dos_ef_per_ev_cell": 4.82, "delta_e_f_kj_per_mol_atoms": -62, "vol_a3_per_atom": 19.626, "lattice": [[-3.100, 2.245, -5.184], [0.508, -4.775, -4.721], [-5.814, -3.902, -5.613]], "species": ["Sm", "Sm", "Pd", "Pd", "Pd", "Pd", "Pd", "Pd", "In", "Ge"], "frac_coords": [[0.248, 0.752, 0.501], [0.752, 0.248, 0.499], [0.804, 0.689, 0.514], [0.311, 0.196, 0.007], [0.196, 0.311, 0.486], [0.747, 0.252, 0.181], [0.689, 0.804, 0.993], [0.253, 0.748, 0.819], [0.000, 0.000, 0.000], [0.500, 0.500, 0.000]]}

[5]
{"formula": "CrNi2AgC", "functional": "GGA-PBE", "state": "relaxed", "final_energy_ev_per_atom": -6.46, "dos_ef_per_ev_cell": 3.39, "delta_e_f_kj_per_mol_atoms": 18, "vol_a3_per_atom": 11.861, "lattice": [[-1.567, -2.700, 2.305], [2.908, -2.421, -0.860], [2.067, 1.401, 3.045]], "species": ["Ni", "Ni", "Ag", "Cr", "C"], "frac_coords": [[0.000, 0.500, 0.000], [0.500, 0.000, 0.000], [0.500, 0.500, 0.500], [0.000, 0.000, 0.500], [0.000, 0.000, 0.000]]}

[6]
{"formula": "NaRe3F", "functional": "GGA-PBE", "state": "relaxed", "final_energy_ev_per_atom": -4.63, "dos_ef_per_ev_cell": 7.13, "relative_energy_ev_per_fu": 8.725, "vol_a3_per_atom": 19.221, "e_form_raw_kj_per_mol_atoms": 335.4, "lattice": [[-4.579, 0.120, 0.019], [-0.108, -3.698, -2.701], [-0.056, -2.701, 3.699]], "species": ["Na", "Re", "Re", "Re", "F"], "frac_coords": [[0.000, 0.000, 0.000], [0.000, 0.000, 0.500], [0.500, 0.000, 0.000], [0.000, 0.500, 0.000], [0.500, 0.500, 0.500]]}